Record 1
# NaUIn2I8

A relaxed NaUIn2I8 crystal (PBE, Alexandria).

a b c (Å): 7.454 7.949 9.525
angles (deg): 89.96 89.94 88.59
Fractional coordinates of all 12 atoms:
1 Na 0.000 0.000 0.000
2 U 0.000 0.000 0.500
3 In 0.500 0.500 0.236
4 In 0.500 0.500 0.764
5 I 0.211 0.685 0.500
6 I 0.235 0.138 0.721
7 I 0.236 0.137 0.279
8 I 0.258 0.673 0.000
9 I 0.742 0.327 0.000
10 I 0.764 0.863 0.721
11 I 0.765 0.862 0.279
12 I 0.789 0.315 0.500

Space-group type: P-1, No. 2
Formation energy without anion corrections, meV/atom: -715
Total magnetization, μB per atom: 0.081

***

Record 2
# AgSbOs2

A relaxed AgSbOs2 crystal (PBE, Alexandria).

a b c (Å): 3.198 3.198 6.534
angles (deg): 90.00 90.00 90.00
Fractional coordinates of all 4 atoms:
1 Ag 0.000 0.000 0.000
2 Sb 0.000 0.000 0.500
3 Os 0.500 0.500 0.270
4 Os 0.500 0.500 0.730

Space-group type: P4/mmm, No. 123
Formation energy without anion corrections, meV/atom: 825
Total magnetization, μB per atom: 0.000

***

Record 3
# SrTl2Mo

A relaxed SrTl2Mo crystal (PBE, Alexandria).

a b c (Å): 4.812 4.812 4.646
angles (deg): 90.00 90.00 90.00
Fractional coordinates of all 4 atoms:
1 Sr 0.000 0.000 0.000
2 Tl 0.000 0.500 0.500
3 Tl 0.500 0.000 0.500
4 Mo 0.500 0.500 0.000

Space-group type: P4/mmm, No. 123
Total magnetization, μB per atom: 0.780
E above lowest polymorph, eV per atom: 0.1797

***

Record 4
# CrCu3Pd3

A relaxed CrCu3Pd3 crystal (PBE, Alexandria).

a b c (Å): 7.088 7.088 4.487
angles (deg): 90.00 90.00 120.00
Fractional coordinates of all 14 atoms:
1 Cr 0.333 0.667 0.250
2 Cr 0.667 0.333 0.750
3 Cu 0.102 0.479 0.750
4 Cu 0.378 0.898 0.750
5 Cu 0.479 0.378 0.250
6 Cu 0.521 0.622 0.750
7 Cu 0.622 0.102 0.250
8 Cu 0.898 0.521 0.250
9 Pd 0.050 0.254 0.250
10 Pd 0.203 0.950 0.250
11 Pd 0.254 0.203 0.750
12 Pd 0.746 0.797 0.250
13 Pd 0.797 0.050 0.750
14 Pd 0.950 0.746 0.750

Space-group type: P6_3/m, No. 176
Total magnetization, μB per atom: 0.537
Total energy, eV per atom: -5.363